1.
# Ca3Fe

Crystalline Ca3Fe at its relaxed geometry (GGA-PBEsol, Alexandria).

## Properties
As for the total moment: 2.151 μB/cell. As for the final energy: -3.39 eV/atom. As for the density: 2441 kg/m3.

Unit cell a=6.7941 b=6.7941 c=6.7941 alpha=149.44 beta=59.05 gamma=130.79
Last column: nearest neighbours and their distance in Å.
Atoms (fractional coordinates):
1 Ca 0.0000 0.0000 0.0000  4 Fe 3.34-3.35, 6 Ca 3.58-3.62
2 Ca 0.3094 0.5000 0.8094  2 Fe 2.88
3 Ca 0.6906 0.5000 0.1906  2 Fe 2.88
4 Fe 0.5011 0.0011 0.5000  4 Ca 2.88

***

2.
# CaFe3

Crystalline CaFe3 at its relaxed geometry (GGA-PBEsol, Alexandria).

## Properties
As for the total moment: 7.145 μB/cell. As for the final energy: -6.72 eV/atom. As for the density: 5434 kg/m3.

Unit cell a=2.7683 b=4.0224 c=5.6975 alpha=90.00 beta=90.00 gamma=90.00
Last column: nearest neighbours and their distance in Å.
Atoms (fractional coordinates):
1 Ca 0.0000 0.0000 0.0000  2 Ca 2.77, 8 Fe 2.94-3.10
2 Fe 0.0000 0.5000 0.3768  6 Fe 2.32-2.52
3 Fe 0.5000 0.0000 0.4863  6 Fe 2.36-2.52
4 Fe 0.5000 0.5000 0.7028  4 Fe 2.32-2.36

***

3.
# CaFe3

Crystalline CaFe3 at its relaxed geometry (GGA-PBEsol, Alexandria).

## Properties
As for the total moment: 0.003 μB/cell. As for the final energy: -6.45 eV/atom. As for the density: 6959 kg/m3.

Unit cell a=2.5709 b=2.5709 c=8.6542 alpha=90.00 beta=90.00 gamma=120.00
Last column: nearest neighbours and their distance in Å.
Atoms (fractional coordinates):
1 Ca 0.0000 0.0000 0.0000  6 Ca 2.57
2 Fe 0.0000 0.0000 0.5000  12 Fe 2.34-2.57
3 Fe 0.3333 0.6667 0.2904  9 Fe 2.34-2.57
4 Fe 0.3333 0.6667 0.7096  9 Fe 2.34-2.57

***

4.
# CaFe

Crystalline CaFe at its relaxed geometry (GGA-PBEsol, Alexandria).

## Properties
As for the total moment: 2.198 μB/cell. As for the final energy: -4.60 eV/atom. As for the density: 3989 kg/m3.

Unit cell a=5.0398 b=5.0398 c=5.0398 alpha=36.19 beta=36.19 gamma=36.19
Last column: nearest neighbours and their distance in Å.
Atoms (fractional coordinates):
1 Ca 0.0000 0.0000 0.0000  6 Fe 2.97, 6 Ca 3.13
2 Fe 0.5000 0.5000 0.5000  6 Ca 2.97, 6 Fe 3.13